Entry from the Alexandria database: a relaxed SrGe2PdPt5 crystal (PBE).

```
SrGe2PdPt5
1.0
-2.657 -1.421 -2.863
-0.954 -3.201 2.474
-7.989 5.863 4.504
Pt Sr Pd Ge
5 1 1 2
direct
0.500 0.000 0.158
0.500 0.500 0.500
0.500 0.000 0.842
0.000 0.500 0.158
0.000 0.500 0.842
0.000 0.000 0.500
0.000 0.000 0.000
0.500 0.500 0.278
0.500 0.500 0.722
```

- Mass density: 11.6 g/cm³
- ΔH_f (0 K): -8.399 kcal/mol of atoms
- Electronic total energy: -0.2025 Ha/atom